Compound: Pa4GaOs
Source: Alexandria via LeMat-Bulk
Functional: PBE
Structure: relaxed

Space-group type   C2/c (15)
Formation enthalpy at 0 K   -0.201 eV/atom
Mass density   14506 kg/m3
Size of the total moment   0.0 μB/cell

abc: 5.860 7.877 7.422
angles: 114.25 103.50 107.70
Fractional positions:
Pa  0.245  0.321  0.386
Ga  0.639  0.389  0.778
Pa  0.727  0.406  0.197
Pa  0.642  0.066  0.386
Pa  0.273  0.594  0.803
Ga  0.361  0.611  0.222
Pa  0.030  0.209  0.803
Pa  0.970  0.791  0.197
Os  0.250  0.000  0.999
Pa  0.755  0.679  0.614
Os  0.750  0.000  0.001
Pa  0.358  0.934  0.614